# 1
Nd12SmHg6 | GGA-PBE | optimized geometry

Calculated values
**Calculated volume**: 576 Å³/f.u.
**Raw total energy**: -3.55 eV per atom
**Calculated density**: 8.89 g cm⁻³

Geometry as POSCAR:
```
Nd12SmHg6
1.0
8.248 0.729 0.873
-0.530 8.263 0.873
-0.530 -0.617 8.286
Nd Sm Hg
12 1 6
direct
0.811 0.532 0.422
0.422 0.811 0.532
0.532 0.422 0.811
0.189 0.468 0.578
0.578 0.189 0.468
0.468 0.578 0.189
0.087 0.126 0.394
0.874 0.606 0.913
0.606 0.913 0.874
0.913 0.874 0.606
0.126 0.394 0.087
0.394 0.087 0.126
0.000 0.000 0.000
0.725 0.876 0.252
0.748 0.275 0.124
0.124 0.748 0.275
0.275 0.124 0.748
0.252 0.725 0.876
0.876 0.252 0.725
```

# 2
Ba6NaSr12 | GGA-PBE | optimized geometry

Calculated values
**Calculated volume**: 1108 Å³/f.u.
**Raw total energy**: -1.68 eV per atom
**Calculated density**: 2.84 g cm⁻³

Geometry as POSCAR:
```
Ba6NaSr12
1.0
-1.306 1.692 -10.126
9.103 -4.490 -2.021
-4.654 -9.187 -1.031
Ba Na Sr
6 1 12
direct
0.734 0.887 0.260
0.740 0.266 0.113
0.113 0.740 0.266
0.266 0.113 0.740
0.260 0.734 0.887
0.887 0.260 0.734
0.000 0.000 0.000
0.801 0.524 0.438
0.438 0.801 0.524
0.524 0.438 0.801
0.199 0.476 0.562
0.562 0.199 0.476
0.476 0.562 0.199
0.044 0.153 0.375
0.847 0.625 0.956
0.625 0.956 0.847
0.956 0.847 0.625
0.153 0.375 0.044
0.375 0.044 0.153
```

# 3
Ca2TiP | GGA-PBE | optimized geometry

Calculated values
**Calculated volume**: 127 Å³/f.u.
**Raw total energy**: -4.49 eV per atom
**Calculated density**: 2.08 g cm⁻³

Geometry as POSCAR:
```
Ca2TiP
1.0
-7.822 5.629 3.656
-4.619 -0.440 -9.204
-7.351 0.592 -2.110
P Ca Ti
2 4 2
direct
0.500 0.500 0.000
0.250 0.750 0.500
0.478 0.125 0.250
0.272 0.625 0.250
0.375 0.522 0.750
0.875 0.728 0.750
0.000 0.000 0.000
0.750 0.250 0.500
```

# 4
ThSc2Sn | GGA-PBE | optimized geometry

Calculated values
**Calculated volume**: 105 Å³/f.u.
**Raw total energy**: -6.38 eV per atom
**Calculated density**: 7.00 g cm⁻³

Geometry as POSCAR:
```
ThSc2Sn
1.0
-1.405 -5.759 2.344
1.229 1.972 2.779
-8.803 2.896 1.838
Th Sc Sn
2 4 2
direct
0.426 0.964 0.750
0.574 0.036 0.250
0.231 0.366 0.472
0.769 0.634 0.528
0.231 0.366 0.028
0.769 0.634 0.972
0.030 0.766 0.250
0.970 0.234 0.750
```

# 5
Sr2LaIn2 | GGA-PBE | optimized geometry

Calculated values
**Calculated volume**: 183 Å³/f.u.
**Raw total energy**: -3.04 eV per atom
**Calculated density**: 4.93 g cm⁻³

Geometry as POSCAR:
```
Sr2LaIn2
1.0
-2.252 -6.187 -6.267
1.886 -6.658 5.895
-4.192 0.078 1.429
Sr In La
4 4 2
direct
0.169 0.669 0.500
0.669 0.831 0.500
0.831 0.331 0.500
0.331 0.169 0.500
0.372 0.872 0.000
0.872 0.628 0.000
0.628 0.128 0.000
0.128 0.372 0.000
0.000 0.000 0.000
0.500 0.500 0.000
```

# 6
Rb5RhO4 | GGA-PBE | optimized geometry

Calculated values
**Calculated volume**: 221 Å³/f.u.
**Raw total energy**: -4.14 eV per atom
**Uncorrected formation energy**: -942 meV per atom
**Calculated density**: 4.46 g cm⁻³

Geometry as POSCAR:
```
Rb5RhO4
1.0
-3.174 -3.666 0.178
6.162 -5.562 -4.683
3.758 -2.850 8.330
Rb Rh O
10 2 8
direct
0.742 0.181 0.172
0.742 0.181 0.828
0.966 0.000 0.500
0.742 0.819 0.172
0.742 0.819 0.828
0.258 0.681 0.328
0.258 0.681 0.672
0.034 0.500 0.000
0.258 0.319 0.672
0.258 0.319 0.328
0.234 0.000 0.000
0.766 0.500 0.500
0.229 0.222 0.000
0.226 0.000 0.204
0.226 0.000 0.796
0.229 0.778 0.000
0.771 0.722 0.500
0.774 0.500 0.296
0.774 0.500 0.704
0.771 0.278 0.500
```

# 7
TlCdSiHg2 | GGA-PBE | optimized geometry

Calculated values
**Calculated volume**: 150 Å³/f.u.
**Raw total energy**: -1.58 eV per atom
**Uncorrected formation energy**: 284 meV per atom
**Calculated density**: 8.26 g cm⁻³

Geometry as POSCAR:
```
TlCdSiHg2
1.0
-3.736 -2.013 -3.046
2.353 -4.950 0.385
-2.885 -1.043 4.228
Tl Si Hg Cd
1 1 2 1
direct
0.000 0.500 0.000
0.000 0.000 0.000
0.000 0.000 0.500
0.500 0.000 0.000
0.500 0.500 0.500
```

# 8
MoOsSe | GGA-PBE | optimized geometry

Calculated values
**Calculated volume**: 55 Å³/f.u.
**Raw total energy**: -8.08 eV per atom
**Uncorrected formation energy**: 438 meV per atom
**Calculated density**: 11.09 g cm⁻³

Geometry as POSCAR:
```
MoOsSe
1.0
4.260 0.000 0.000
2.130 3.689 0.000
2.130 1.230 3.478
Mo Os Se
1 1 1
direct
0.500 0.500 0.500
0.750 0.750 0.750
0.000 0.000 0.000
```

# 9
Nd2Si2O7 | GGA-PBE | optimized geometry

Calculated values
**Calculated volume**: 145 Å³/f.u.
**Raw total energy**: -8.17 eV per atom
**Uncorrected formation energy**: -3165 meV per atom
**Calculated density**: 5.25 g cm⁻³

Geometry as POSCAR:
```
Nd2Si2O7
1.0
-6.500 1.880 -0.863
0.831 -0.232 -6.766
-6.898 -23.869 -0.028
Nd Si O
16 16 56
direct
0.281 0.212 0.152
0.788 0.281 0.402
0.212 0.719 0.902
0.719 0.788 0.652
0.023 0.335 0.005
0.665 0.023 0.255
0.335 0.977 0.755
0.977 0.665 0.505
0.845 0.585 0.151
0.415 0.845 0.401
0.585 0.155 0.901
0.155 0.415 0.651
0.635 0.745 0.014
0.255 0.635 0.264
0.745 0.365 0.764
0.365 0.255 0.514
0.519 0.218 0.033
0.782 0.519 0.283
0.218 0.481 0.783
0.481 0.782 0.533
0.106 0.811 0.040
0.189 0.106 0.290
0.811 0.894 0.790
0.894 0.189 0.540
0.769 0.128 0.134
0.872 0.769 0.384
0.128 0.231 0.884
0.231 0.872 0.634
0.358 0.745 0.138
0.255 0.358 0.388
0.745 0.642 0.888
0.642 0.255 0.638
0.267 0.364 0.925
0.636 0.267 0.175
0.364 0.733 0.675
0.733 0.636 0.425
0.494 0.052 0.987
0.948 0.494 0.237
0.052 0.506 0.737
0.506 0.948 0.487
0.976 0.989 0.016
0.011 0.976 0.266
0.989 0.024 0.766
0.024 0.011 0.516
0.623 0.081 0.082
0.919 0.623 0.332
0.081 0.377 0.832
0.377 0.919 0.582
0.224 0.882 0.096
0.118 0.224 0.346
0.882 0.776 0.846
0.776 0.118 0.596
0.829 0.929 0.165
0.315 0.298 0.058
0.071 0.829 0.415
0.171 0.071 0.665
0.947 0.640 0.059
0.360 0.947 0.309
0.640 0.053 0.809
0.053 0.360 0.559
0.265 0.045 0.865
0.955 0.265 0.115
0.045 0.735 0.615
0.735 0.955 0.365
0.735 0.294 0.499
0.706 0.735 0.749
0.294 0.265 0.249
0.265 0.706 0.999
0.435 0.226 0.413
0.774 0.435 0.663
0.226 0.565 0.163
0.565 0.774 0.913
0.451 0.336 0.607
0.664 0.451 0.857
0.336 0.549 0.357
0.549 0.664 0.107
0.101 0.392 0.439
0.608 0.101 0.689
0.392 0.899 0.189
0.899 0.608 0.939
0.334 0.614 0.510
0.386 0.334 0.760
0.614 0.666 0.260
0.666 0.386 0.010
0.685 0.702 0.558
0.298 0.685 0.808
0.702 0.315 0.308
0.929 0.171 0.915
```

# 10
PaPSO4 | GGA-PBE | optimized geometry

Calculated values
**Calculated volume**: 106 Å³/f.u.
**Raw total energy**: -8.03 eV per atom
**Uncorrected formation energy**: -2477 meV per atom
**Calculated density**: 5.60 g cm⁻³

Geometry as POSCAR:
```
PaPSO4
1.0
5.964 -0.067 -0.059
1.912 5.650 -0.059
1.536 1.089 6.257
Pa P S O
2 2 2 8
direct
0.219 0.219 0.857
0.781 0.781 0.143
0.631 0.631 0.736
0.369 0.369 0.264
0.022 0.022 0.232
0.978 0.978 0.768
0.294 0.294 0.505
0.706 0.706 0.495
0.139 0.490 0.157
0.532 0.532 0.223
0.510 0.861 0.843
0.490 0.139 0.157
0.468 0.468 0.777
0.861 0.510 0.843
```

# 11
RbAsSeBr2 | GGA-PBE | optimized geometry

Calculated values
**Calculated volume**: 297 Å³/f.u.
**Raw total energy**: -1.85 eV per atom
**Uncorrected formation energy**: 639 meV per atom
**Calculated density**: 2.23 g cm⁻³

Geometry as POSCAR:
```
RbAsSeBr2
1.0
6.577 0.000 0.000
0.000 6.577 0.000
0.000 0.000 6.863
As Se Br Rb
1 1 2 1
direct
0.000 0.000 0.500
0.500 0.500 0.500
0.000 0.500 0.000
0.500 0.000 0.000
0.000 0.000 0.000
```

# 12
Sc2Ir2C | GGA-PBE | optimized geometry

Calculated values
**Calculated volume**: 91 Å³/f.u.
**Raw total energy**: -7.96 eV per atom
**Calculated density**: 8.88 g cm⁻³

Geometry as POSCAR:
```
Sc2Ir2C
1.0
5.277 0.000 0.000
0.000 5.277 0.000
2.638 2.638 3.266
Sc C Ir
2 1 2
direct
0.750 0.250 0.500
0.250 0.750 0.500
0.000 0.000 0.000
0.291 0.291 0.419
0.709 0.709 0.581
```

# 13
PaMn2V | GGA-PBE | optimized geometry

Calculated values
**Calculated volume**: 61 Å³/f.u.
**Raw total energy**: -9.11 eV per atom
**Calculated density**: 10.68 g cm⁻³

Geometry as POSCAR:
```
PaMn2V
1.0
-1.588 -2.455 -1.036
3.631 -2.512 0.387
-1.145 -1.014 4.160
Pa Mn V
1 2 1
direct
0.500 0.500 0.500
0.000 0.000 0.500
0.000 0.500 0.000
0.500 0.000 0.000
```

# 14
Tb5InHg3 | GGA-PBE | optimized geometry

Calculated values
**Calculated volume**: 244 Å³/f.u.
**Raw total energy**: -3.38 eV per atom
**Calculated density**: 10.27 g cm⁻³

Geometry as POSCAR:
```
Tb5InHg3
1.0
-1.638 5.803 2.903
-5.800 1.806 -6.884
-2.948 -4.541 7.414
Tb In Hg
10 2 6
direct
0.000 0.667 0.333
0.500 0.333 0.667
0.000 0.333 0.667
0.500 0.667 0.333
0.750 0.703 0.703
0.750 0.000 0.297
0.750 0.297 0.000
0.250 0.297 0.297
0.250 0.000 0.703
0.250 0.703 0.000
0.000 0.000 0.000
0.500 0.000 0.000
0.750 0.371 0.371
0.750 0.000 0.629
0.750 0.629 0.000
0.250 0.629 0.629
0.250 0.000 0.371
0.250 0.371 0.000
```

# 15
Th3SnPt12 | GGA-PBE | optimized geometry

Calculated values
**Calculated volume**: 295 Å³/f.u.
**Raw total energy**: -7.09 eV per atom
**Calculated density**: 17.76 g cm⁻³

Geometry as POSCAR:
```
Th3SnPt12
1.0
4.209 0.000 0.000
0.000 4.209 0.000
0.000 0.000 16.655
Th Sn Pt
3 1 12
direct
0.000 0.000 0.244
0.000 0.000 0.500
0.000 0.000 0.756
0.000 0.000 0.000
0.500 0.500 0.000
0.500 0.500 0.245
0.500 0.500 0.500
0.500 0.500 0.755
0.500 0.000 0.119
0.500 0.000 0.373
0.500 0.000 0.627
0.500 0.000 0.881
0.000 0.500 0.119
0.000 0.500 0.373
0.000 0.500 0.627
0.000 0.500 0.881
```

# 16
LiInHgTe | GGA-PBE | optimized geometry

Calculated values
**Calculated volume**: 110 Å³/f.u.
**Raw total energy**: -2.34 eV per atom
**Uncorrected formation energy**: -319 meV per atom
**Calculated density**: 6.81 g cm⁻³

Geometry as POSCAR:
```
LiInHgTe
1.0
5.373 0.000 0.000
2.686 4.653 0.000
2.686 1.551 4.387
Te Li Hg In
1 1 1 1
direct
0.000 0.000 0.000
0.750 0.750 0.750
0.500 0.500 0.500
0.250 0.250 0.250
```

# 17
SbRu2Pb | GGA-PBE | optimized geometry

Calculated values
**Calculated volume**: 75 Å³/f.u.
**Raw total energy**: -6.08 eV per atom
**Uncorrected formation energy**: 519 meV per atom
**Calculated density**: 11.72 g cm⁻³

Geometry as POSCAR:
```
SbRu2Pb
1.0
-1.973 -5.337 0.451
-0.448 -2.699 5.009
-1.338 4.985 -2.437
Pb Ru Sb
1 2 1
direct
0.750 0.250 0.500
0.000 0.000 0.000
0.250 0.750 0.500
0.500 0.500 0.000
```

no.,total magnetic moment (Bohr magnetons per cell)
1,0.00
2,0.00
3,4.43
4,0.00
5,0.00
6,4.01
7,0.00
8,0.00
9,0.00
10,0.00
11,5.88
12,0.00
13,0.21
14,0.00
15,0.00
16,0.00
17,0.55